A geometry-optimized LiSmMoO4 structure. Source: the Alexandria database, functional PBE+U.

Lattice parameters (Å, degrees): 6.651 6.651 6.651 122.99 115.29 91.63
Element x y z (fractional)
Li  0.332  0.082  0.250
Li  0.668  0.918  0.750
Sm  0.000  0.500  0.500
Sm  0.500  0.500  0.000
Mo  0.000  0.000  0.500
Mo  0.000  0.500  0.000
O  0.197  0.748  0.449
O  0.200  0.252  0.949
O  0.222  0.235  0.512
O  0.222  0.710  0.988
O  0.778  0.290  0.012
O  0.778  0.765  0.488
O  0.800  0.748  0.051
O  0.803  0.252  0.551

Volume   14.97 Å³ per atom
Total DFT energy (no corrections)   -7.100 eV per atom
Symmetry   Imma